Entry 1:
Here is Na3MnBSO7 after structural relaxation from Alexandria. Energies are from GGA-PBEsol.

abc: 5.2435 6.8368 8.9774
angles: 90.00 90.84 90.00
Closest atoms and distances in Å follow each position.
Sites, in units of the cell vectors:
Na: 0.2380 0.0085 0.2625  4 O 2.23-2.46
Na: 0.2380 0.4915 0.2625  4 O 2.23-2.46
Na: 0.2527 0.2500 0.5641  3 O 2.33-2.45
Na: 0.7473 0.7500 0.4359  3 O 2.33-2.45
Na: 0.7620 0.5085 0.7375  4 O 2.23-2.46
Na: 0.7620 0.9915 0.7375  4 O 2.23-2.46
Mn: 0.2438 0.7500 0.8371  5 O 2.04-2.23
Mn: 0.7562 0.2500 0.1629  5 O 2.04-2.23
B: 0.2660 0.7500 0.5623  3 O 1.36-1.41
B: 0.7340 0.2500 0.4377  3 O 1.36-1.41
S: 0.2893 0.2500 0.9181  4 O 1.49-1.50
S: 0.7107 0.7500 0.0819  4 O 1.49-1.50
O: 0.0332 0.7500 0.6365  1 B 1.40
O: 0.1584 0.2500 0.0638  1 S 1.49
O: 0.2164 0.0749 0.8288  1 S 1.49
O: 0.2164 0.4251 0.8288  1 S 1.49
O: 0.2866 0.7500 0.4117  1 B 1.36
O: 0.4277 0.7500 0.0547  1 S 1.50
O: 0.4808 0.7500 0.6583  1 B 1.41
O: 0.5192 0.2500 0.3417  1 B 1.41
O: 0.5723 0.2500 0.9453  1 S 1.50
O: 0.7134 0.2500 0.5883  1 B 1.36
O: 0.7836 0.5749 0.1712  1 S 1.49
O: 0.7836 0.9251 0.1712  1 S 1.49
O: 0.8416 0.7500 0.9362  1 S 1.49
O: 0.9668 0.2500 0.3635  1 B 1.40

The calculation puts the raw formation energy at -1.80 eV per atom. For the density of states at the Fermi level, the calculation gives 0.00 states/eV/f.u. The space group is No. 11.

=====

Entry 2:
Here is Na3MnSiBO7 after structural relaxation from Alexandria. Energies are from GGA-PBEsol.

abc: 5.2123 6.3730 8.8418
angles: 90.00 92.54 90.00
Closest atoms and distances in Å follow each position.
Sites, in units of the cell vectors:
Na: 0.2307 0.2500 0.0817  4 O 2.33-2.45
Na: 0.2532 0.5101 0.7363  4 O 2.25-2.48
Na: 0.2532 0.9899 0.7363  4 O 2.25-2.48
Na: 0.7468 0.0101 0.2637  4 O 2.25-2.48
Na: 0.7468 0.4899 0.2637  4 O 2.25-2.48
Na: 0.7693 0.7500 0.9183  4 O 2.33-2.45
Mn: 0.2167 0.7500 0.3326  6 O 1.88-1.94
Mn: 0.7833 0.2500 0.6674  6 O 1.88-1.94
Si: 0.2770 0.2500 0.4296  4 O 1.62-1.65
Si: 0.7230 0.7500 0.5704  4 O 1.62-1.65
B: 0.2775 0.7500 0.0686  3 O 1.33-1.40
B: 0.7225 0.2500 0.9314  3 O 1.33-1.40
O: 0.0387 0.7500 0.1358  1 B 1.40
O: 0.1018 0.2500 0.5764  1 Si 1.62
O: 0.2149 0.0496 0.3170  1 Si 1.64
O: 0.2149 0.4504 0.3170  1 Si 1.64
O: 0.3145 0.7500 0.9204  1 B 1.33
O: 0.4159 0.7500 0.5160  1 Si 1.65
O: 0.4710 0.7500 0.1843  1 B 1.40
O: 0.5290 0.2500 0.8157  1 B 1.40
O: 0.5841 0.2500 0.4840  1 Si 1.65
O: 0.6855 0.2500 0.0796  1 B 1.33
O: 0.7851 0.5496 0.6830  1 Si 1.64
O: 0.7851 0.9504 0.6830  1 Si 1.64
O: 0.8982 0.7500 0.4236  1 Si 1.62
O: 0.9613 0.2500 0.8642  1 B 1.40

The calculation puts the raw formation energy at -2.16 eV per atom. The space group is No. 11.

=====

Entry 3:
Here is RbNaMnB2 after structural relaxation from Alexandria. Energies are from GGA-PBEsol.

abc: 4.8229 4.8229 4.9897
angles: 90.00 90.00 90.00
Closest atoms and distances in Å follow each position.
Sites, in units of the cell vectors:
Rb: 0.0000 0.0000 0.0000  4 Mn 3.41, 8 B 3.47
Na: 0.5000 0.5000 0.5000  4 B 2.41, 2 Mn 2.49
Mn: 0.5000 0.5000 0.0000  2 Na 2.49
B: 0.0000 0.5000 0.5000  2 Na 2.41
B: 0.5000 0.0000 0.5000  2 Na 2.41

For the density of states at the Fermi level, the calculation gives 3.03 states/eV/f.u. The space group is No. 123. Its energy of formation is 1096.9 kJ/mol of formula units.

=====

Entry 4:
Here is Mn2Ni21B6 after structural relaxation from Alexandria. Energies are from GGA-PBEsol.

abc: 7.3077 7.3077 7.3077
angles: 60.00 60.00 60.00
Closest atoms and distances in Å follow each position.
Sites, in units of the cell vectors:
Mn: 0.2500 0.2500 0.2500  4 Ni 2.37
Mn: 0.7500 0.7500 0.7500  4 Ni 2.37
Ni: 0.0000 0.0000 0.0000  12 Ni 2.48
Ni: 0.0000 0.0000 0.3387  2 B 2.05
Ni: 0.0000 0.0000 0.6613  2 B 2.05
Ni: 0.0000 0.3387 0.0000  2 B 2.05
Ni: 0.0000 0.3387 0.6613  2 B 2.05
Ni: 0.0000 0.6613 0.0000  2 B 2.05
Ni: 0.0000 0.6613 0.3387  2 B 2.05
Ni: 0.1478 0.6174 0.6174  3 B 2.06
Ni: 0.3387 0.0000 0.0000  2 B 2.05
Ni: 0.3387 0.0000 0.6613  2 B 2.05
Ni: 0.3387 0.6613 0.0000  2 B 2.05
Ni: 0.3826 0.3826 0.3826  3 B 2.06
Ni: 0.3826 0.3826 0.8522  3 B 2.06
Ni: 0.3826 0.8522 0.3826  3 B 2.06
Ni: 0.6174 0.1478 0.6174  3 B 2.06
Ni: 0.6174 0.6174 0.1478  3 B 2.06
Ni: 0.6174 0.6174 0.6174  3 B 2.06
Ni: 0.6613 0.0000 0.0000  2 B 2.05
Ni: 0.6613 0.0000 0.3387  2 B 2.05
Ni: 0.6613 0.3387 0.0000  2 B 2.05
Ni: 0.8522 0.3826 0.3826  3 B 2.06
B: 0.2722 0.2722 0.7278  8 Ni 2.05-2.06
B: 0.2722 0.7278 0.2722  8 Ni 2.05-2.06
B: 0.2722 0.7278 0.7278  8 Ni 2.05-2.06
B: 0.7278 0.2722 0.2722  8 Ni 2.05-2.06
B: 0.7278 0.2722 0.7278  8 Ni 2.05-2.06
B: 0.7278 0.7278 0.2722  8 Ni 2.05-2.06

For the density of states at the Fermi level, the calculation gives 22.24 states/eV/f.u. The space group is No. 225. Its energy of formation is -759.2 kJ/mol of formula units.

=====

Entry 5:
Here is MnB4O7 after structural relaxation from Alexandria. Energies are from GGA-PBEsol.

abc: 8.1026 8.6454 14.0362
angles: 90.00 90.00 90.00
Closest atoms and distances in Å follow each position.
Sites, in units of the cell vectors:
Mn: 0.1173 0.1080 0.1133  4 O 2.06-2.13
Mn: 0.1173 0.3920 0.6133  4 O 2.06-2.13
Mn: 0.3827 0.6080 0.1133  4 O 2.06-2.13
Mn: 0.3827 0.8920 0.6133  4 O 2.06-2.13
Mn: 0.6173 0.1080 0.3867  4 O 2.06-2.13
Mn: 0.6173 0.3920 0.8867  4 O 2.06-2.13
Mn: 0.8827 0.6080 0.3867  4 O 2.06-2.13
Mn: 0.8827 0.8920 0.8867  4 O 2.06-2.13
B: 0.0101 0.5684 0.1633  4 O 1.44-1.54
B: 0.0101 0.9316 0.6633  4 O 1.44-1.54
B: 0.0337 0.1681 0.7654  3 O 1.35-1.39
B: 0.0337 0.3319 0.2654  3 O 1.35-1.39
B: 0.0634 0.7073 0.5667  4 O 1.44-1.50
B: 0.0634 0.7927 0.0667  4 O 1.44-1.50
B: 0.1859 0.1343 0.4635  3 O 1.35-1.39
B: 0.1859 0.3657 0.9635  3 O 1.35-1.39
B: 0.3141 0.6343 0.4635  3 O 1.35-1.39
B: 0.3141 0.8657 0.9635  3 O 1.35-1.39
B: 0.4366 0.2073 0.5667  4 O 1.44-1.50
B: 0.4366 0.2927 0.0667  4 O 1.44-1.50
B: 0.4663 0.6681 0.7654  3 O 1.35-1.39
B: 0.4663 0.8319 0.2654  3 O 1.35-1.39
B: 0.4899 0.0684 0.1633  4 O 1.44-1.54
B: 0.4899 0.4316 0.6633  4 O 1.44-1.54
B: 0.5101 0.5684 0.3367  4 O 1.44-1.54
B: 0.5101 0.9316 0.8367  4 O 1.44-1.54
B: 0.5337 0.1681 0.7346  3 O 1.35-1.39
B: 0.5337 0.3319 0.2346  3 O 1.35-1.39
B: 0.5634 0.7073 0.9333  4 O 1.44-1.50
B: 0.5634 0.7927 0.4333  4 O 1.44-1.50
B: 0.6859 0.1343 0.0365  3 O 1.35-1.39
B: 0.6859 0.3657 0.5365  3 O 1.35-1.39
B: 0.8141 0.6343 0.0365  3 O 1.35-1.39
B: 0.8141 0.8657 0.5365  3 O 1.35-1.39
B: 0.9366 0.2073 0.9333  4 O 1.44-1.50
B: 0.9366 0.2927 0.4333  4 O 1.44-1.50
B: 0.9663 0.6681 0.7346  3 O 1.35-1.39
B: 0.9663 0.8319 0.2346  3 O 1.35-1.39
B: 0.9899 0.0684 0.3367  4 O 1.44-1.54
B: 0.9899 0.4316 0.8367  4 O 1.44-1.54
O: 0.0122 0.6064 0.6479  2 B 1.38-1.49
O: 0.0122 0.8936 0.1479  2 B 1.38-1.49
O: 0.0335 0.1730 0.2518  2 B 1.39-1.54
O: 0.0335 0.3270 0.7518  2 B 1.39-1.54
O: 0.0804 0.0769 0.6919  2 B 1.35-1.44
O: 0.0804 0.4231 0.1919  2 B 1.35-1.44
O: 0.0847 0.2443 0.9926  2 B 1.39-1.50
O: 0.0847 0.2557 0.4926  2 B 1.39-1.50
O: 0.1337 0.6519 0.1050  2 B 1.45-1.48
O: 0.1337 0.8481 0.6050  2 B 1.45-1.48
O: 0.1420 0.0435 0.3896  2 B 1.35-1.45
O: 0.1420 0.4565 0.8896  2 B 1.35-1.45
O: 0.1667 0.6078 0.5094  2 B 1.38-1.44
O: 0.1667 0.8922 0.0094  2 B 1.38-1.44
O: 0.3333 0.1078 0.5094  2 B 1.38-1.44
O: 0.3333 0.3922 0.0094  2 B 1.38-1.44
O: 0.3580 0.5435 0.3896  2 B 1.35-1.45
O: 0.3580 0.9565 0.8896  2 B 1.35-1.45
O: 0.3663 0.1519 0.1050  2 B 1.45-1.48
O: 0.3663 0.3481 0.6050  2 B 1.45-1.48
O: 0.4153 0.7443 0.9926  2 B 1.39-1.50
O: 0.4153 0.7557 0.4926  2 B 1.39-1.50
O: 0.4196 0.5769 0.6919  2 B 1.35-1.44
O: 0.4196 0.9231 0.1919  2 B 1.35-1.44
O: 0.4665 0.6730 0.2518  2 B 1.39-1.54
O: 0.4665 0.8270 0.7518  2 B 1.39-1.54
O: 0.4878 0.1064 0.6479  2 B 1.38-1.49
O: 0.4878 0.3936 0.1479  2 B 1.38-1.49
O: 0.5122 0.6064 0.8521  2 B 1.38-1.49
O: 0.5122 0.8936 0.3521  2 B 1.38-1.49
O: 0.5335 0.1730 0.2482  2 B 1.39-1.54
O: 0.5335 0.3270 0.7482  2 B 1.39-1.54
O: 0.5804 0.0769 0.8081  2 B 1.35-1.44
O: 0.5804 0.4231 0.3081  2 B 1.35-1.44
O: 0.5847 0.2443 0.5074  2 B 1.39-1.50
O: 0.5847 0.2557 0.0074  2 B 1.39-1.50
O: 0.6337 0.6519 0.3950  2 B 1.45-1.48
O: 0.6337 0.8481 0.8950  2 B 1.45-1.48
O: 0.6420 0.0435 0.1104  2 B 1.35-1.45
O: 0.6420 0.4565 0.6104  2 B 1.35-1.45
O: 0.6667 0.6078 0.9906  2 B 1.38-1.44
O: 0.6667 0.8922 0.4906  2 B 1.38-1.44
O: 0.8333 0.1078 0.9906  2 B 1.38-1.44
O: 0.8333 0.3922 0.4906  2 B 1.38-1.44
O: 0.8580 0.5435 0.1104  2 B 1.35-1.45
O: 0.8580 0.9565 0.6104  2 B 1.35-1.45
O: 0.8663 0.1519 0.3950  2 B 1.45-1.48
O: 0.8663 0.3481 0.8950  2 B 1.45-1.48
O: 0.9153 0.7443 0.5074  2 B 1.39-1.50
O: 0.9153 0.7557 0.0074  2 B 1.39-1.50
O: 0.9196 0.5769 0.8081  2 B 1.35-1.44
O: 0.9196 0.9231 0.3081  2 B 1.35-1.44
O: 0.9665 0.6730 0.2482  2 B 1.39-1.54
O: 0.9665 0.8270 0.7482  2 B 1.39-1.54
O: 0.9878 0.1064 0.8521  2 B 1.38-1.49
O: 0.9878 0.3936 0.3521  2 B 1.38-1.49

The calculation puts the raw formation energy at -2.27 eV per atom. For the density of states at the Fermi level, the calculation gives 0.00 states/eV/f.u. As for the relative energy among the computed polymorphs: 0 meV/atom. The space group is No. 61.

=====

Entry 6:
Here is MnB2O4 after structural relaxation from Alexandria. Energies are from GGA-PBEsol.

abc: 7.0774 7.4569 8.7819
angles: 90.00 94.22 90.00
Closest atoms and distances in Å follow each position.
Sites, in units of the cell vectors:
Mn: 0.0003 0.2128 0.1241  4 O 2.09-2.20
Mn: 0.0003 0.2872 0.6241  4 O 2.09-2.20
Mn: 0.9997 0.7128 0.3759  4 O 2.09-2.20
Mn: 0.9997 0.7872 0.8759  4 O 2.09-2.20
Mn: 0.4709 0.2410 0.6415  4 O 2.06-2.25
Mn: 0.4709 0.2590 0.1415  4 O 2.06-2.25
Mn: 0.5291 0.7410 0.8585  4 O 2.06-2.25
Mn: 0.5291 0.7590 0.3585  4 O 2.06-2.25
B: 0.1824 0.5677 0.1377  4 O 1.46-1.50
B: 0.1824 0.9323 0.6377  4 O 1.46-1.50
B: 0.2068 0.0629 0.3679  4 O 1.46-1.49
B: 0.2068 0.4371 0.8679  4 O 1.46-1.49
B: 0.3011 0.6007 0.6186  4 O 1.47-1.49
B: 0.3011 0.8993 0.1186  4 O 1.47-1.49
B: 0.3120 0.0977 0.8837  4 O 1.47-1.49
B: 0.3120 0.4023 0.3837  4 O 1.47-1.49
B: 0.6880 0.5977 0.6163  4 O 1.47-1.49
B: 0.6880 0.9023 0.1163  4 O 1.47-1.49
B: 0.6989 0.1007 0.8814  4 O 1.47-1.49
B: 0.6989 0.3993 0.3814  4 O 1.47-1.49
B: 0.7932 0.5629 0.1321  4 O 1.46-1.49
B: 0.7932 0.9371 0.6321  4 O 1.46-1.49
B: 0.8176 0.0677 0.3623  4 O 1.46-1.50
B: 0.8176 0.4323 0.8623  4 O 1.46-1.50
O: 0.0100 0.0022 0.3291  2 B 1.48-1.50
O: 0.0100 0.4978 0.8291  2 B 1.48-1.50
O: 0.1665 0.7484 0.5798  2 B 1.46-1.48
O: 0.1665 0.7516 0.0798  2 B 1.46-1.48
O: 0.2226 0.2475 0.3046  2 B 1.47-1.49
O: 0.2226 0.2525 0.8046  2 B 1.47-1.49
O: 0.2284 0.0594 0.0310  2 B 1.49
O: 0.2284 0.4406 0.5310  2 B 1.49
O: 0.2633 0.0591 0.5309  2 B 1.46-1.48
O: 0.2633 0.4409 0.0309  2 B 1.46-1.48
O: 0.2983 0.5631 0.2860  2 B 1.47-1.49
O: 0.2983 0.9369 0.7860  2 B 1.47-1.49
O: 0.3248 0.5587 0.7828  2 B 1.47
O: 0.3248 0.9413 0.2828  2 B 1.47
O: 0.4888 0.6568 0.5758  2 B 1.47-1.49
O: 0.4888 0.8432 0.0758  2 B 1.47-1.49
O: 0.5112 0.1568 0.9242  2 B 1.47-1.49
O: 0.5112 0.3432 0.4242  2 B 1.47-1.49
O: 0.6752 0.0587 0.7172  2 B 1.47
O: 0.6752 0.4413 0.2172  2 B 1.47
O: 0.7017 0.0631 0.2140  2 B 1.47-1.49
O: 0.7017 0.4369 0.7140  2 B 1.47-1.49
O: 0.7367 0.5591 0.9691  2 B 1.46-1.48
O: 0.7367 0.9409 0.4691  2 B 1.46-1.48
O: 0.7716 0.5594 0.4690  2 B 1.49
O: 0.7716 0.9406 0.9690  2 B 1.49
O: 0.7774 0.7475 0.1954  2 B 1.47-1.49
O: 0.7774 0.7525 0.6954  2 B 1.47-1.49
O: 0.8335 0.2484 0.9202  2 B 1.46-1.48
O: 0.8335 0.2516 0.4202  2 B 1.46-1.48
O: 0.9900 0.5022 0.1709  2 B 1.48-1.50
O: 0.9900 0.9978 0.6709  2 B 1.48-1.50

The calculation puts the raw formation energy at -2.12 eV per atom. For the density of states at the Fermi level, the calculation gives 0.00 states/eV/f.u. The space group is No. 14.

=====

Entry 7:
Here is Mn2BO4 after structural relaxation from Alexandria. Energies are from GGA-PBEsol.

abc: 3.2358 9.3783 9.8167
angles: 90.00 108.98 90.00
Closest atoms and distances in Å follow each position.
Sites, in units of the cell vectors:
Mn: 0.0822 0.1006 0.3118  5 O 1.99-2.14
Mn: 0.0822 0.3994 0.8118  5 O 1.99-2.14
Mn: 0.3077 0.6160 0.5700  4 O 1.94-2.05
Mn: 0.3077 0.8840 0.0700  4 O 1.94-2.05
Mn: 0.6923 0.1160 0.9300  4 O 1.94-2.05
Mn: 0.6923 0.3840 0.4300  4 O 1.94-2.05
Mn: 0.9178 0.6006 0.1882  5 O 1.99-2.14
Mn: 0.9178 0.8994 0.6882  5 O 1.99-2.14
B: 0.4249 0.1662 0.6255  3 O 1.37-1.39
B: 0.4249 0.3338 0.1255  3 O 1.37-1.39
B: 0.5751 0.6662 0.8745  3 O 1.37-1.39
B: 0.5751 0.8338 0.3745  3 O 1.37-1.39
O: 0.1064 0.5184 0.3857  3 Mn 1.94-1.99
O: 0.1064 0.9816 0.8857  3 Mn 1.94-1.99
O: 0.3273 0.2345 0.4932  1 B 1.39
O: 0.3273 0.2655 0.9932  1 B 1.39
O: 0.3725 0.0217 0.6316  1 B 1.37
O: 0.3725 0.4783 0.1316  1 B 1.37
O: 0.4266 0.7424 0.7458  1 B 1.39
O: 0.4266 0.7576 0.2458  1 B 1.39
O: 0.5734 0.2424 0.7542  1 B 1.39
O: 0.5734 0.2576 0.2542  1 B 1.39
O: 0.6275 0.5217 0.8684  1 B 1.37
O: 0.6275 0.9783 0.3684  1 B 1.37
O: 0.6727 0.7345 0.0068  1 B 1.39
O: 0.6727 0.7655 0.5068  1 B 1.39
O: 0.8936 0.0184 0.1143  3 Mn 1.94-1.99
O: 0.8936 0.4816 0.6143  3 Mn 1.94-1.99

The calculation puts the raw formation energy at -1.79 eV per atom. For the density of states at the Fermi level, the calculation gives 0.87 states/eV/f.u. The space group is No. 14.

=====

| no. | VASP energy (eV per atom) | magnetization (μB/f.u.) |
| --- | --- | --- |
| 1 | -6.57 | 5.0 |
| 2 | -7.04 | 3.0 |
| 3 | -2.97 | 3.7 |
| 4 | -6.86 | 9.7 |
| 5 | -8.49 | 5.0 |
| 6 | -8.52 | 5.0 |
| 7 | -8.58 | 9.0 |